[1]
# PBE Ba3YSi, relaxed
data_Ba3YSi
_chemical_formula_sum 'Ba3 Y1 Si1'
_space_group_name_H-M_alt 'P m -3 m'
_space_group_IT_number 221
_space_group_name_Hall '-P 4 2 3'
_cell_length_a 6.309
_cell_length_b 6.309
_cell_length_c 6.309
_cell_angle_alpha 90.00
_cell_angle_beta 90.00
_cell_angle_gamma 90.00
loop_
_atom_site_label
_atom_site_fract_x
_atom_site_fract_y
_atom_site_fract_z
_atom_site_occupancy
Ba1 0.000 0.000 0.500 1
Y1 0.000 0.000 0.000 1
Si1 0.500 0.500 0.500 1
# energy relative to the elements, uncorrected = 969 meV/atom
# calculated total energy = -2.56 eV/atom
# polymorph energy (0 for the lowest one) = 0.684 eV/atom
# magnetization = 0.0 μB/f.u.



[2]
# PBE BaYSi2, relaxed
data_BaYSi2
_chemical_formula_sum 'Ba2 Y2 Si4'
_space_group_name_H-M_alt 'A m m 2'
_space_group_IT_number 38
_space_group_name_Hall 'A 2 -2'
_cell_length_a 3.947
_cell_length_b 4.461
_cell_length_c 12.621
_cell_angle_alpha 90.00
_cell_angle_beta 90.00
_cell_angle_gamma 90.00
loop_
_atom_site_label
_atom_site_fract_x
_atom_site_fract_y
_atom_site_fract_z
_atom_site_occupancy
Ba1 0.000 0.000 0.000 1
Y1 0.500 0.000 0.732 1
Si1 0.000 0.000 0.271 1
Si2 0.500 0.000 0.388 1
# energy relative to the elements, uncorrected = -483 meV/atom
# calculated total energy = -5.29 eV/atom
# polymorph energy (0 for the lowest one) = 0.000 eV/atom
# magnetization = 0.2 μB/f.u.



[3]
# PBE BaYSi2, relaxed
data_BaYSi2
_chemical_formula_sum 'Ba2 Y2 Si4'
_space_group_name_H-M_alt 'C m m m'
_space_group_IT_number 65
_space_group_name_Hall '-C 2 2'
_cell_length_a 7.133
_cell_length_b 8.490
_cell_length_c 3.429
_cell_angle_alpha 90.00
_cell_angle_beta 90.00
_cell_angle_gamma 90.00
loop_
_atom_site_label
_atom_site_fract_x
_atom_site_fract_y
_atom_site_fract_z
_atom_site_occupancy
Ba1 0.000 0.000 0.000 1
Y1 0.000 0.500 0.000 1
Si1 0.250 0.250 0.500 1
# energy relative to the elements, uncorrected = -104 meV/atom
# calculated total energy = -4.91 eV/atom
# polymorph energy (0 for the lowest one) = 0.380 eV/atom
# magnetization = 0.0 μB/f.u.



[4]
# PBE BaYSi4, relaxed
data_BaYSi4
_chemical_formula_sum 'Ba4 Y4 Si16'
_space_group_name_H-M_alt 'P b a m'
_space_group_IT_number 55
_space_group_name_Hall '-P 2 2ab'
_cell_length_a 7.933
_cell_length_b 15.738
_cell_length_c 4.439
_cell_angle_alpha 90.00
_cell_angle_beta 90.00
_cell_angle_gamma 90.00
loop_
_atom_site_label
_atom_site_fract_x
_atom_site_fract_y
_atom_site_fract_z
_atom_site_occupancy
Ba1 0.123 0.152 0.000 1
Y1 0.131 0.413 0.000 1
Si1 0.025 0.693 0.500 1
Si2 0.122 0.545 0.500 1
Si3 0.128 0.957 0.500 1
Si4 0.222 0.808 0.500 1
# energy relative to the elements, uncorrected = -412 meV/atom
# calculated total energy = -5.43 eV/atom
# polymorph energy (0 for the lowest one) = 0.000 eV/atom
# magnetization = 0.0 μB/f.u.



[5]
# PBE BaYSi2, relaxed
data_BaYSi2
_chemical_formula_sum 'Ba2 Y2 Si4'
_space_group_name_H-M_alt 'C 1 2/m 1'
_space_group_IT_number 12
_space_group_name_Hall '-C 2y'
_cell_length_a 9.792
_cell_length_b 4.002
_cell_length_c 6.714
_cell_angle_alpha 90.00
_cell_angle_beta 114.69
_cell_angle_gamma 90.00
loop_
_atom_site_label
_atom_site_fract_x
_atom_site_fract_y
_atom_site_fract_z
_atom_site_occupancy
Ba1 0.000 0.000 0.000 1
Y1 0.000 0.500 0.500 1
Si1 0.241 0.000 0.604 1
# energy relative to the elements, uncorrected = -373 meV/atom
# calculated total energy = -5.18 eV/atom
# polymorph energy (0 for the lowest one) = 0.111 eV/atom
# magnetization = 0.9 μB/f.u.



[6]
# PBE Ba3YSi, relaxed
data_Ba3YSi
_chemical_formula_sum 'Ba3 Y1 Si1'
_space_group_name_H-M_alt 'P m -3 m'
_space_group_IT_number 221
_space_group_name_Hall '-P 4 2 3'
_cell_length_a 6.407
_cell_length_b 6.407
_cell_length_c 6.407
_cell_angle_alpha 90.00
_cell_angle_beta 90.00
_cell_angle_gamma 90.00
loop_
_atom_site_label
_atom_site_fract_x
_atom_site_fract_y
_atom_site_fract_z
_atom_site_occupancy
Ba1 0.000 0.000 0.500 1
Y1 0.500 0.500 0.500 1
Si1 0.000 0.000 0.000 1
# energy relative to the elements, uncorrected = 286 meV/atom
# calculated total energy = -3.25 eV/atom
# polymorph energy (0 for the lowest one) = 0.000 eV/atom
# magnetization = 1.6 μB/f.u.